# 1
BeIr2F after structural relaxation. Source: the Alexandria database, functional PBE.

formation energy (no corrections): 0.2902 eV per atom
excess energy over the best structure of this formula in the dataset: 57 meV per atom

Lattice parameters (Å, degrees): 3.705 3.705 8.380 77.23 77.23 90.00
Fractional coordinates of all 8 atoms:
Ir1 0.875 0.854 0.750
Ir2 0.146 0.625 0.250
Ir3 0.375 0.396 0.750
Ir4 0.604 0.125 0.250
F1 0.750 0.250 0.500
F2 0.000 0.000 0.000
Be1 0.250 0.750 0.500
Be2 0.500 0.500 0.000



# 2
BeIr2F2 after structural relaxation. Source: the Alexandria database, functional PBE.

formation energy (no corrections): 0.4874 eV per atom
excess energy over the best structure of this formula in the dataset: 83 meV per atom

Lattice parameters (Å, degrees): 3.332 3.332 8.821 79.11 79.11 90.00
Fractional coordinates of all 5 atoms:
F1 0.568 0.568 0.865
F2 0.432 0.432 0.135
Ir1 0.250 0.750 0.500
Ir2 0.750 0.250 0.500
Be1 0.000 0.000 0.000